# 1
Compound: Li2ZrSi
Source: Alexandria via LeMat-Bulk
Functional: PBE
Structure: relaxed

Cell: 5.6116 5.6116 5.6116 Å, 140.36 139.85 57.70°
Last column: magnetic moment on the atom in μB.
Fractional positions:
Li (0.0022, 0.0022, 0.0000)  0.04
Li (0.4978, 0.4978, 0.0000)  0.04
Si (0.2500, 0.7500, 0.5000)  -0.01
Zr (0.7500, 0.2500, 0.5000)  0.34

---

# 2
Compound: LiZrSi3
Source: Alexandria via LeMat-Bulk
Functional: PBE
Structure: relaxed

ΔE to the lowest computed polymorph in meV/atom: 0

Cell: 4.3399 4.3399 4.3399 Å, 90.00 90.00 90.00°
Fractional positions:
Si (0.0000, 0.5000, 0.0000)
Si (0.0000, 0.0000, 0.5000)
Si (0.5000, 0.0000, 0.0000)
Zr (0.5000, 0.5000, 0.5000)
Li (0.0000, 0.0000, 0.0000)

---

# 3
Compound: LiZr2Si
Source: Alexandria via LeMat-Bulk
Functional: PBE
Structure: relaxed

Cell: 10.3181 10.3181 10.3181 Å, 16.91 16.91 16.91°
Fractional positions:
Li (0.2500, 0.2500, 0.2500)
Si (0.7500, 0.7500, 0.7500)
Zr (0.0083, 0.0083, 0.0083)
Zr (0.4917, 0.4917, 0.4917)

---

# 4
Compound: LiZr2Si
Source: Alexandria via LeMat-Bulk
Functional: PBE
Structure: relaxed

Cell: 4.8852 4.8852 3.0600 Å, 90.00 90.00 99.87°
Fractional positions:
Li (0.5000, 0.0000, 0.5000)
Si (0.0000, 0.5000, 0.5000)
Zr (0.0000, 0.0000, 0.0000)
Zr (0.5000, 0.5000, 0.0000)

---

Here are the calculated formation energy from raw total energies numbers, same order: -137, 496, 26, -245 (meV per atom).